Material: Pr4Sm3Ga4
Method: DFT, PBE-GGA
State: optimized geometry

The value obtained for the formation enthalpy at 0 K is -401 meV/atom.

It has space group Immm (No. 71), with a = 3.6423 Å, b = 9.2053 Å, c = 18.6591 Å, α = 90.00°, β = 90.00° and γ = 90.00°. The asymmetric unit holds Pr at (0.0000, 0.1770, 0.1671), Sm at (0.0000, 0.0000, 0.4068), Sm at (0.0000, 0.5000, 0.5000), Ga at (0.0000, 0.2762, 0.0000) and Ga at (0.0000, 0.5000, 0.2230).